[1]
A relaxed structure of LaPrAl6, computed with GGA-PBE.

The structure in extended XYZ format:
```
8
Lattice="-5.7127 -3.3961 0.0657 5.7385 -3.1706 -1.0905 0.4692 -0.7020 4.5100" Properties=species:S:1:pos:R:3 pbc="T T T"
Al 1.1300 -4.6323 -0.8386
Pr -1.8956 -3.3209 -0.3197
Al 1.1192 -1.8905 -0.4107
Al 3.5152 -3.2144 -0.8661
Al 0.5573 -3.6282 1.7113
La 0.2346 -0.3510 2.2550
Al 2.9608 -4.9562 1.2545
Al 2.9500 -2.2058 1.6838
```

Computed properties:
Total energy (eV/atom): -4.47
Crystal system: hexagonal

[2]
A relaxed structure of NbCuSe2, computed with GGA-PBE.

The structure in extended XYZ format:
```
16
Lattice="-3.7951 4.9371 0.7704 -0.5490 -0.9578 3.4339 10.7326 7.6494 3.8495" Properties=species:S:1:pos:R:3 pbc="T T T"
Se 7.6625 8.2637 6.3717
Cu -1.0261 4.3636 3.8948
Se 0.6634 0.8430 3.1828
Nb -0.8203 0.7266 1.0187
Cu 1.9840 2.6880 3.9086
Se 5.7251 10.7856 4.8710
Se -1.2740 3.3649 1.6821
Se 1.1921 5.0408 4.4383
Cu 4.4045 8.9406 4.1452
Se 2.5098 8.4122 5.5894
Nb 7.2088 10.9020 7.0351
Cu 7.4146 7.2650 4.1590
Se 3.8786 3.2164 2.4644
Se 5.1964 6.5878 3.6155
Nb 2.5715 6.9650 3.3011
Nb 3.8170 4.6636 4.7527
```

Computed properties:
Total energy (eV/atom): -5.75
Crystal system: orthorhombic

[3]
A relaxed structure of RbBeAsPt, computed with GGA-PBE.

The structure in extended XYZ format:
```
4
Lattice="0.5856 0.6798 4.7603 -2.8576 -2.3218 3.1478 1.8103 -3.5537 2.7494" Properties=species:S:1:pos:R:3 pbc="T T T"
Pt -0.1154 -1.2989 2.6644
Rb -0.2308 -2.5979 5.3288
Be -0.3462 -3.8968 7.9931
As 0.0000 0.0000 0.0000
```

Computed properties:
Total energy (eV/atom): -3.06
Distance to the lowest polymorph of the same formula (meV per atom): 202
Crystal system: cubic

[4]
A relaxed structure of NaGaSiPd, computed with GGA-PBE.

The structure in extended XYZ format:
```
4
Lattice="-1.6493 -4.2232 -0.2025 -3.7065 -1.1048 2.3744 -3.9149 -0.8065 -2.1494" Properties=species:S:1:pos:R:3 pbc="T T T"
Si -2.3177 -1.5336 0.0056
Pd -4.6354 -3.0673 0.0113
Ga 0.0000 0.0000 0.0000
Na -6.9530 -4.6009 0.0169
```

Computed properties:
Total energy (eV/atom): -3.77
Distance to the lowest polymorph of the same formula (meV per atom): 62
Crystal system: cubic

[5]
A relaxed structure of TmCoHg, computed with GGA-PBE.

The structure in extended XYZ format:
```
3
Lattice="-1.5158 -0.0038 4.2146 -2.0316 3.6335 1.6524 -4.4073 -0.0652 0.7947" Properties=species:S:1:pos:R:3 pbc="T T T"
Hg -1.9887 0.8911 1.6654
Co 0.0000 0.0000 0.0000
Tm -5.9661 2.6734 4.9963
```

Computed properties:
Total energy (eV/atom): -4.00
Crystal system: cubic
DFT formation energy (eV/atom): -0.04

[6]
A relaxed structure of Y2Hf4Ga3C3, computed with GGA-PBE.

The structure in extended XYZ format:
```
24
Lattice="-4.3757 3.4680 -1.5614 -1.9720 -0.1016 -5.4509 -7.1720 -11.3536 5.9874" Properties=species:S:1:pos:R:3 pbc="T T T"
C -9.1753 -10.8829 2.0791
Hf -4.6670 -6.5663 2.3592
Ga -3.9174 -2.7137 -3.7074
Hf -12.0037 -7.7438 -1.0942
Hf -8.9030 -4.2978 -2.2580
Ga -3.0787 -2.4983 -0.9336
C -4.3444 2.8957 -3.1040
Hf -7.8136 -9.9441 3.5972
Y -6.4290 -2.2828 -1.1666
Ga -7.4003 -7.0827 3.2504
Hf -8.8527 -1.4210 -3.3841
Ga -9.6023 -5.2736 2.6825
Y -9.6196 -8.5468 1.1873
C -2.1879 1.7340 -0.7807
Ga -10.4410 -5.4890 -0.0913
Hf -4.6167 -3.6895 1.2331
Y -3.9001 0.5595 -2.2122
Hf -5.7061 1.9568 -4.6221
C -6.8332 -3.3590 1.0981
Y -7.0907 -5.7045 0.1417
C -4.5720 -5.7276 0.2682
Hf -1.5160 -0.2435 0.0693
Ga -6.1194 -0.9046 -4.2753
C -6.6865 -4.6283 -2.1230
```

Computed properties:
Total energy (eV/atom): -8.18
Crystal system: monoclinic

[7]
A relaxed structure of PmBTe, computed with GGA-PBE.

The structure in extended XYZ format:
```
3
Lattice="0.0000 3.4743 3.4743 3.4743 0.0000 3.4743 3.4743 3.4743 0.0000" Properties=species:S:1:pos:R:3 pbc="T T T"
B 1.7372 1.7372 1.7372
Te 5.2115 5.2115 5.2115
Pm 0.0000 0.0000 0.0000
```

Computed properties:
Total energy (eV/atom): -4.33
Distance to the lowest polymorph of the same formula (meV per atom): 321
Crystal system: cubic

[8]
A relaxed structure of CuAuSe, computed with GGA-PBE.

The structure in extended XYZ format:
```
6
Lattice="-2.9935 1.0130 -2.6585 -2.7996 -1.7352 2.4913 -0.7619 5.4341 2.9287" Properties=species:S:1:pos:R:3 pbc="T T T"
Au -2.0421 4.3957 0.7668
Se -1.9499 3.0555 3.3600
Se -1.7086 2.0176 -0.5149
Au -1.6164 0.6774 2.0783
Cu -2.8966 -0.3611 -0.0836
Cu 0.0000 0.0000 0.0000
```

Computed properties:
Total energy (eV/atom): -3.41
Crystal system: tetragonal

[9]
A relaxed structure of Rb4Nb2O5, computed with GGA-PBE.

The structure in extended XYZ format:
```
11
Lattice="-5.2468 -0.4609 3.3861 -4.3585 -3.7133 -2.5344 4.1951 -5.6836 3.7516" Properties=species:S:1:pos:R:3 pbc="T T T"
Rb -7.3973 -7.0434 2.7592
Rb -9.4883 -4.1563 0.8594
O -2.4548 -3.2831 -0.3171
Rb -5.8553 -3.6123 1.1058
Nb -2.4380 -3.4184 1.5120
O -2.1960 -7.8441 2.2064
O -2.5978 -6.3731 4.8843
Nb -3.0183 -6.4539 3.0924
Rb 0.5451 -6.0893 3.4268
O -2.8519 -1.8294 2.3293
O -3.5916 -4.8621 2.1320
```

Computed properties:
Total energy (eV/atom): -6.14
Crystal system: monoclinic

[10]
A relaxed structure of SmTlInSe3, computed with GGA-PBE.

The structure in extended XYZ format:
```
12
Lattice="-0.4127 5.7336 -5.0726 -3.5347 -5.8288 3.5081 -3.5190 7.2134 8.4397" Properties=species:S:1:pos:R:3 pbc="T T T"
Sm -1.9737 -0.0476 -0.7823
Se -3.1672 -4.1242 2.4772
Tl -1.9141 5.2344 -1.2539
Se -4.5427 5.6223 5.3547
Se -4.2991 11.2424 4.3980
Sm -3.7332 3.5591 3.4376
Se -2.6591 7.8806 0.4647
Se -4.8072 -0.7625 6.4105
Tl -5.5522 1.8838 8.1291
Se -2.9236 1.4959 1.5205
In -3.3858 9.9073 2.1748
In -4.0806 -2.7891 4.7004
```

Computed properties:
Total energy (eV/atom): -4.32
Crystal system: orthorhombic

[11]
A relaxed structure of ErGaTc, computed with GGA-PBE.

The structure in extended XYZ format:
```
3
Lattice="-3.7425 2.3522 0.4795 -1.2870 2.8067 -3.1992 -3.5575 -0.9500 -2.4920" Properties=species:S:1:pos:R:3 pbc="T T T"
Er -2.1468 1.0522 -1.3029
Tc -6.4403 3.1567 -3.9087
Ga 0.0000 0.0000 0.0000
```

Computed properties:
Total energy (eV/atom): -5.90
Distance to the lowest polymorph of the same formula (meV per atom): 0
Crystal system: cubic

[12]
A relaxed structure of DyHo2In3NiGe2, computed with GGA-PBE.

The structure in extended XYZ format:
```
9
Lattice="-3.3006 -0.0494 2.6485 -1.1911 -7.0213 -1.6155 4.4167 1.7764 5.5375" Properties=species:S:1:pos:R:3 pbc="T T T"
Ge 0.8984 -1.1771 4.4790
In -0.8781 -1.2804 2.2632
Ho 1.7775 0.7149 2.2286
In 1.7087 1.3250 5.5356
Ge -0.9746 -4.1153 2.0900
In -2.5554 -5.3646 0.0966
Dy 1.9263 -3.1322 2.3421
Ho -0.4794 -2.8257 -0.6502
Ni 0.0019 -0.0031 0.0023
```

Computed properties:
Total energy (eV/atom): -4.68
Crystal system: orthorhombic